1.
Here is crystalline HfCoAgBi at its relaxed geometry from OQMD via LeMat-Bulk. Energies are from PBE.

Computed properties:
* uncorrected energy: -0.4247 Ry per atom
* energy above the lowest structure with this stoichiometry: 0 meV/atom

abc: 4.7451 4.7451 4.7451
angles: 60.00 60.00 60.00
Element x y z (fractional)
Hf (0.0000, 0.0000, 0.0000)
Co (0.7500, 0.7500, 0.7500)
Ag (0.2500, 0.2500, 0.2500)
Bi (0.5000, 0.5000, 0.5000)

***

2.
Here is crystalline HfCoAgBi at its relaxed geometry from OQMD via LeMat-Bulk. Energies are from PBE.

Computed properties:
* uncorrected energy: -0.4153 Ry per atom
* energy above the lowest structure with this stoichiometry: 128 meV/atom

abc: 4.7434 4.7434 4.7434
angles: 60.00 60.00 60.00
Element x y z (fractional)
Hf (0.0000, 0.0000, 0.0000)
Co (0.5000, 0.5000, 0.5000)
Ag (0.7500, 0.7500, 0.7500)
Bi (0.2500, 0.2500, 0.2500)

***

3.
Here is crystalline CoAgBiIr at its relaxed geometry from OQMD via LeMat-Bulk. Energies are from PBE.

Computed properties:
* uncorrected energy: -0.3851 Ry per atom
* energy above the lowest structure with this stoichiometry: 0 meV/atom

abc: 4.5780 4.5780 4.5780
angles: 60.00 60.00 60.00
Element x y z (fractional)
Co (0.0000, 0.0000, 0.0000)
Ag (0.2500, 0.2500, 0.2500)
Bi (0.7500, 0.7500, 0.7500)
Ir (0.5000, 0.5000, 0.5000)

***

4.
Here is crystalline LiCoAgBi at its relaxed geometry from OQMD via LeMat-Bulk. Energies are from PBE.

Computed properties:
* uncorrected energy: -0.2877 Ry per atom
* energy above the lowest structure with this stoichiometry: 0 meV/atom

abc: 4.5458 4.5458 4.5458
angles: 60.00 60.00 60.00
Element x y z (fractional)
Li (0.0000, 0.0000, 0.0000)
Co (0.5000, 0.5000, 0.5000)
Ag (0.7500, 0.7500, 0.7500)
Bi (0.2500, 0.2500, 0.2500)

***

5.
Here is crystalline MgCoAgBi at its relaxed geometry from OQMD via LeMat-Bulk. Energies are from PBE.

Computed properties:
* uncorrected energy: -0.2681 Ry per atom
* energy above the lowest structure with this stoichiometry: 0 meV/atom

abc: 4.7393 4.7393 4.7393
angles: 60.00 60.00 60.00
Element x y z (fractional)
Mg (0.0000, 0.0000, 0.0000)
Co (0.7500, 0.7500, 0.7500)
Ag (0.2500, 0.2500, 0.2500)
Bi (0.5000, 0.5000, 0.5000)

***

6.
Here is crystalline CoAgBiMo at its relaxed geometry from OQMD via LeMat-Bulk. Energies are from PBE.

Computed properties:
* uncorrected energy: -0.4034 Ry per atom
* energy above the lowest structure with this stoichiometry: 0 meV/atom

abc: 4.6060 4.6060 4.6060
angles: 60.00 60.00 60.00
Element x y z (fractional)
Co (0.0000, 0.0000, 0.0000)
Ag (0.2500, 0.2500, 0.2500)
Bi (0.7500, 0.7500, 0.7500)
Mo (0.5000, 0.5000, 0.5000)

***

7.
Here is crystalline NbCoAgBi at its relaxed geometry from OQMD via LeMat-Bulk. Energies are from PBE.

Computed properties:
* uncorrected energy: -0.4023 Ry per atom
* energy above the lowest structure with this stoichiometry: 0 meV/atom

abc: 4.6684 4.6684 4.6684
angles: 60.00 60.00 60.00
Element x y z (fractional)
Nb (0.0000, 0.0000, 0.0000)
Co (0.5000, 0.5000, 0.5000)
Ag (0.7500, 0.7500, 0.7500)
Bi (0.2500, 0.2500, 0.2500)

***

8.
Here is crystalline NbCoAgBi at its relaxed geometry from OQMD via LeMat-Bulk. Energies are from PBE.

Computed properties:
* uncorrected energy: -0.4012 Ry per atom
* energy above the lowest structure with this stoichiometry: 16 meV/atom

abc: 4.6921 4.6921 4.6921
angles: 60.00 60.00 60.00
Element x y z (fractional)
Nb (0.0000, 0.0000, 0.0000)
Co (0.7500, 0.7500, 0.7500)
Ag (0.2500, 0.2500, 0.2500)
Bi (0.5000, 0.5000, 0.5000)

***

9.
Here is crystalline CoAgBiOs at its relaxed geometry from OQMD via LeMat-Bulk. Energies are from PBE.

Computed properties:
* uncorrected energy: -0.4054 Ry per atom
* energy above the lowest structure with this stoichiometry: 0 meV/atom

abc: 4.5548 4.5548 4.5548
angles: 60.00 60.00 60.00
Element x y z (fractional)
Co (0.0000, 0.0000, 0.0000)
Ag (0.2500, 0.2500, 0.2500)
Bi (0.7500, 0.7500, 0.7500)
Os (0.5000, 0.5000, 0.5000)

***

10.
Here is crystalline CoAgBiPt at its relaxed geometry from OQMD via LeMat-Bulk. Energies are from PBE.

Computed properties:
* uncorrected energy: -0.3509 Ry per atom
* energy above the lowest structure with this stoichiometry: 0 meV/atom

abc: 4.6324 4.6324 4.6324
angles: 60.00 60.00 60.00
Element x y z (fractional)
Co (0.0000, 0.0000, 0.0000)
Ag (0.2500, 0.2500, 0.2500)
Bi (0.7500, 0.7500, 0.7500)
Pt (0.5000, 0.5000, 0.5000)

***

11.
Here is crystalline CoReAgBi at its relaxed geometry from OQMD via LeMat-Bulk. Energies are from PBE.

Computed properties:
* uncorrected energy: -0.4181 Ry per atom
* energy above the lowest structure with this stoichiometry: 0 meV/atom

abc: 4.5793 4.5793 4.5793
angles: 60.00 60.00 60.00
Element x y z (fractional)
Co (0.0000, 0.0000, 0.0000)
Re (0.5000, 0.5000, 0.5000)
Ag (0.2500, 0.2500, 0.2500)
Bi (0.7500, 0.7500, 0.7500)

***

12.
Here is crystalline ScCoAgBi at its relaxed geometry from OQMD via LeMat-Bulk. Energies are from PBE.

Computed properties:
* uncorrected energy: -0.3734 Ry per atom
* energy above the lowest structure with this stoichiometry: 0 meV/atom

abc: 4.7437 4.7437 4.7437
angles: 60.00 60.00 60.00
Element x y z (fractional)
Sc (0.0000, 0.0000, 0.0000)
Co (0.7500, 0.7500, 0.7500)
Ag (0.2500, 0.2500, 0.2500)
Bi (0.5000, 0.5000, 0.5000)

***

13.
Here is crystalline ScCoAgBi at its relaxed geometry from OQMD via LeMat-Bulk. Energies are from PBE.

Computed properties:
* uncorrected energy: -0.3712 Ry per atom
* energy above the lowest structure with this stoichiometry: 29 meV/atom

abc: 4.7126 4.7126 4.7126
angles: 60.00 60.00 60.00
Element x y z (fractional)
Sc (0.0000, 0.0000, 0.0000)
Co (0.5000, 0.5000, 0.5000)
Ag (0.7500, 0.7500, 0.7500)
Bi (0.2500, 0.2500, 0.2500)

***

14.
Here is crystalline TaCoAgBi at its relaxed geometry from OQMD via LeMat-Bulk. Energies are from PBE.

Computed properties:
* uncorrected energy: -0.4274 Ry per atom
* energy above the lowest structure with this stoichiometry: 0 meV/atom

abc: 4.6890 4.6890 4.6890
angles: 60.00 60.00 60.00
Element x y z (fractional)
Ta (0.0000, 0.0000, 0.0000)
Co (0.7500, 0.7500, 0.7500)
Ag (0.2500, 0.2500, 0.2500)
Bi (0.5000, 0.5000, 0.5000)

***

15.
Here is crystalline TaCoAgBi at its relaxed geometry from OQMD via LeMat-Bulk. Energies are from PBE.

Computed properties:
* uncorrected energy: -0.4239 Ry per atom
* energy above the lowest structure with this stoichiometry: 47 meV/atom

abc: 4.6600 4.6600 4.6600
angles: 60.00 60.00 60.00
Element x y z (fractional)
Ta (0.0000, 0.0000, 0.0000)
Co (0.5000, 0.5000, 0.5000)
Ag (0.7500, 0.7500, 0.7500)
Bi (0.2500, 0.2500, 0.2500)

***

16.
Here is crystalline YCoAgBi at its relaxed geometry from OQMD via LeMat-Bulk. Energies are from PBE.

Computed properties:
* uncorrected energy: -0.3724 Ry per atom
* energy above the lowest structure with this stoichiometry: 79 meV/atom

abc: 4.9172 4.9172 4.9172
angles: 60.00 60.00 60.00
Element x y z (fractional)
Y (0.0000, 0.0000, 0.0000)
Co (0.5000, 0.5000, 0.5000)
Ag (0.7500, 0.7500, 0.7500)
Bi (0.2500, 0.2500, 0.2500)

***

17.
Here is crystalline YCoAgBi at its relaxed geometry from OQMD via LeMat-Bulk. Energies are from PBE.

Computed properties:
* uncorrected energy: -0.3782 Ry per atom
* energy above the lowest structure with this stoichiometry: 0 meV/atom

abc: 4.8931 4.8931 4.8931
angles: 60.00 60.00 60.00
Element x y z (fractional)
Y (0.0000, 0.0000, 0.0000)
Co (0.7500, 0.7500, 0.7500)
Ag (0.2500, 0.2500, 0.2500)
Bi (0.5000, 0.5000, 0.5000)

***

18.
Here is crystalline ZrCoAgBi at its relaxed geometry from OQMD via LeMat-Bulk. Energies are from PBE.

Computed properties:
* uncorrected energy: -0.4034 Ry per atom
* energy above the lowest structure with this stoichiometry: 0 meV/atom

abc: 4.7622 4.7622 4.7622
angles: 60.00 60.00 60.00
Element x y z (fractional)
Zr (0.0000, 0.0000, 0.0000)
Co (0.7500, 0.7500, 0.7500)
Ag (0.2500, 0.2500, 0.2500)
Bi (0.5000, 0.5000, 0.5000)

***

19.
Here is crystalline ZrCoAgBi at its relaxed geometry from OQMD via LeMat-Bulk. Energies are from PBE.

Computed properties:
* uncorrected energy: -0.3971 Ry per atom
* energy above the lowest structure with this stoichiometry: 85 meV/atom

abc: 4.7540 4.7540 4.7540
angles: 60.00 60.00 60.00
Element x y z (fractional)
Zr (0.0000, 0.0000, 0.0000)
Co (0.5000, 0.5000, 0.5000)
Ag (0.7500, 0.7500, 0.7500)
Bi (0.2500, 0.2500, 0.2500)

***

20.
Here is crystalline Cs2AgBiF6 at its relaxed geometry from OQMD via LeMat-Bulk. Energies are from PBE.

Computed properties:
* uncorrected energy: -0.3119 Ry per atom
* energy above the lowest structure with this stoichiometry: 15 meV/atom

abc: 6.5426 6.5426 6.5426
angles: 57.95 57.95 57.95
Element x y z (fractional)
Cs (0.0000, 0.0000, 0.0000)
Cs (0.4948, 0.4948, 0.4948)
Ag (0.7491, 0.7491, 0.7491)
Bi (0.2485, 0.2485, 0.2485)
F (0.0148, 0.4863, 0.9938)
F (0.4759, 0.9872, 0.5117)
F (0.4863, 0.9938, 0.0148)
F (0.5117, 0.4759, 0.9872)
F (0.9872, 0.5117, 0.4759)
F (0.9938, 0.0148, 0.4863)

***

21.
Here is crystalline Cs2AgBiF6 at its relaxed geometry from OQMD via LeMat-Bulk. Energies are from PBE.

Computed properties:
* uncorrected energy: -0.3130 Ry per atom
* energy above the lowest structure with this stoichiometry: 0 meV/atom

abc: 11.5325 11.5325 11.5325
angles: 32.74 32.74 32.74
Element x y z (fractional)
Cs (0.1273, 0.1273, 0.1273)
Cs (0.2777, 0.2777, 0.2777)
Cs (0.7223, 0.7223, 0.7223)
Cs (0.8727, 0.8727, 0.8727)
Ag (0.4100, 0.4100, 0.4100)
Ag (0.5900, 0.5900, 0.5900)
Bi (0.0000, 0.0000, 0.0000)
Bi (0.5000, 0.5000, 0.5000)
F (0.1223, 0.6314, 0.6314)
F (0.1992, 0.1992, 0.7277)
F (0.1992, 0.7277, 0.1992)
F (0.2723, 0.8008, 0.8008)
F (0.3686, 0.3686, 0.8777)
F (0.3686, 0.8777, 0.3686)
F (0.6314, 0.1223, 0.6314)
F (0.6314, 0.6314, 0.1223)
F (0.7277, 0.1992, 0.1992)
F (0.8008, 0.2723, 0.8008)
F (0.8008, 0.8008, 0.2723)
F (0.8777, 0.3686, 0.3686)

***

22.
Here is crystalline Cs2AgBiF6 at its relaxed geometry from OQMD via LeMat-Bulk. Energies are from PBE.

Computed properties:
* uncorrected energy: -0.3117 Ry per atom
* energy above the lowest structure with this stoichiometry: 18 meV/atom

abc: 6.4997 6.3308 11.0679
angles: 90.00 124.88 90.00
Element x y z (fractional)
Cs (0.2438, 0.0192, 0.2465)
Cs (0.2438, 0.4808, 0.7465)
Cs (0.7562, 0.5192, 0.2535)
Cs (0.7562, 0.9808, 0.7535)
Ag (0.0000, 0.0000, 0.5000)
Ag (0.0000, 0.5000, 0.0000)
Bi (0.5000, 0.0000, 0.0000)
Bi (0.5000, 0.5000, 0.5000)
F (0.2014, 0.2170, 0.9702)
F (0.2014, 0.2830, 0.4702)
F (0.2707, 0.7238, 0.9838)
F (0.2707, 0.7762, 0.4838)
F (0.3057, 0.5173, 0.2554)
F (0.3057, 0.9827, 0.7554)
F (0.6943, 0.0173, 0.2446)
F (0.6943, 0.4827, 0.7446)
F (0.7293, 0.2238, 0.5162)
F (0.7293, 0.2762, 0.0162)
F (0.7986, 0.7170, 0.5298)
F (0.7986, 0.7830, 0.0298)

***

23.
Here is crystalline CsK2Ag3Bi2 at its relaxed geometry from OQMD via LeMat-Bulk. Energies are from PBE.

Computed properties:
* uncorrected energy: -0.2023 Ry per atom

abc: 8.6851 8.6851 8.6851
angles: 43.33 43.33 43.33
Element x y z (fractional)
Cs (0.0000, 0.0000, 0.0000)
K (0.4159, 0.4159, 0.4159)
K (0.5841, 0.5841, 0.5841)
Ag (0.0000, 0.0000, 0.5000)
Ag (0.0000, 0.5000, 0.0000)
Ag (0.5000, 0.0000, 0.0000)
Bi (0.2575, 0.2575, 0.2575)
Bi (0.7425, 0.7425, 0.7425)

***

24.
Here is crystalline CsNa3Ag2Bi2 at its relaxed geometry from OQMD via LeMat-Bulk. Energies are from PBE.

Computed properties:
* uncorrected energy: -0.1878 Ry per atom

abc: 6.2715 5.9904 6.7993
angles: 90.00 102.88 90.00
Element x y z (fractional)
Cs (0.0000, 0.0000, 0.0000)
Na (0.2986, 0.5000, 0.3482)
Na (0.6341, 0.0000, 0.3523)
Na (0.9336, 0.5000, 0.6566)
Ag (0.4534, 0.2573, 0.8408)
Ag (0.4534, 0.7427, 0.8408)
Bi (0.1976, 0.0000, 0.5310)
Bi (0.7217, 0.5000, 0.1565)

***

25.
Here is crystalline CsNaAgBi at its relaxed geometry from OQMD via LeMat-Bulk. Energies are from PBE.

Computed properties:
* uncorrected energy: -0.1878 Ry per atom
* energy above the lowest structure with this stoichiometry: 0 meV/atom

abc: 6.4521 6.0619 7.4033
angles: 90.00 104.32 90.00
Element x y z (fractional)
Cs (0.0615, 0.2500, 0.1777)
Cs (0.9385, 0.7500, 0.8223)
Na (0.3413, 0.7500, 0.5256)
Na (0.6587, 0.2500, 0.4744)
Ag (0.5000, 0.0000, 0.0000)
Ag (0.5000, 0.5000, 0.0000)
Bi (0.2746, 0.2500, 0.6940)
Bi (0.7254, 0.7500, 0.3060)

***

26.
Here is crystalline CsNaAgBi at its relaxed geometry from OQMD via LeMat-Bulk. Energies are from PBE.

Computed properties:
* uncorrected energy: -0.1838 Ry per atom
* energy above the lowest structure with this stoichiometry: 54 meV/atom

abc: 5.9918 7.1493 7.1493
angles: 97.66 90.00 90.00
Element x y z (fractional)
Cs (0.0000, 0.1798, 0.8202)
Cs (0.0000, 0.8202, 0.1798)
Na (0.5000, 0.1572, 0.4878)
Na (0.5000, 0.4878, 0.1572)
Ag (0.2453, 0.5981, 0.5981)
Ag (0.7547, 0.5981, 0.5981)
Bi (0.0000, 0.3379, 0.3379)
Bi (0.5000, 0.8442, 0.8442)

***

27.
Here is crystalline CsNaAgBi at its relaxed geometry from OQMD via LeMat-Bulk. Energies are from PBE.

Computed properties:
* uncorrected energy: -0.1878 Ry per atom
* energy above the lowest structure with this stoichiometry: 0 meV/atom

abc: 6.3991 6.0777 7.4468
angles: 90.00 104.81 90.00
Element x y z (fractional)
Cs (0.0630, 0.2500, 0.1771)
Cs (0.9370, 0.7500, 0.8229)
Na (0.3345, 0.7500, 0.5217)
Na (0.6655, 0.2500, 0.4783)
Ag (0.5000, 0.0000, 0.0000)
Ag (0.5000, 0.5000, 0.0000)
Bi (0.2753, 0.2500, 0.6935)
Bi (0.7247, 0.7500, 0.3065)